No. 1
Entry from Alexandria: CeCd2SnAu4 after structural relaxation (PBE-GGA).

Values from the calculation:
formation energy: -340 meV/atom
total magnetization: 0.88 Bohr magnetons per cell
space group: R-3m, No. 166
density of states at the Fermi level: 8.59 states/eV/f.u.

Unit cell a=9.502 b=9.502 c=9.502 alpha=28.95 beta=28.95 gamma=28.95
Atoms (fractional coordinates):
Ce 0.000 0.000 0.000
Cd 0.250 0.250 0.250
Cd 0.750 0.750 0.750
Sn 0.500 0.500 0.500
Au 0.121 0.121 0.121
Au 0.386 0.386 0.386
Au 0.614 0.614 0.614
Au 0.879 0.879 0.879



No. 2
Entry from Alexandria: Ba2TmF6 after structural relaxation (PBE-GGA).

Values from the calculation:
ΔE_f (raw): -3.713 eV/atom
total magnetization: 0.99 Bohr magnetons per cell
space group: Immm, No. 71
density of states at the Fermi level: 1.52 states/eV/f.u.

Unit cell a=7.233 b=7.233 c=7.233 alpha=148.12 beta=126.42 gamma=63.71
Atoms (fractional coordinates):
Ba 0.153 0.153 0.000
Ba 0.847 0.847 0.000
Tm 0.500 0.500 0.000
F 0.146 0.348 0.799
F 0.314 0.000 0.314
F 0.451 0.652 0.799
F 0.549 0.348 0.201
F 0.686 0.000 0.686
F 0.854 0.652 0.201



No. 3
Entry from Alexandria: Li3Ag7Bi after structural relaxation (PBE-GGA).

Values from the calculation:
formation energy: 32 meV/atom
total magnetization: 0.00 Bohr magnetons per cell
space group: C2/m, No. 12
density of states at the Fermi level: 2.72 states/eV/f.u.

Unit cell a=6.517 b=6.517 c=5.519 alpha=103.78 beta=103.78 gamma=98.60
Atoms (fractional coordinates):
Li 0.000 0.000 0.000
Li 0.231 0.769 0.500
Li 0.769 0.231 0.500
Ag 0.050 0.591 0.802
Ag 0.174 0.174 0.533
Ag 0.409 0.950 0.198
Ag 0.500 0.500 0.500
Ag 0.591 0.050 0.802
Ag 0.826 0.826 0.467
Ag 0.950 0.409 0.198
Bi 0.500 0.500 0.000